The following is a DFT calculation (PBE) of an optimized crystal structure of NaYS2.

abc: 4.8197 4.8197 4.8197
angles: 60.00 60.00 60.00
With the nearest neighbours (Å) after each atom.
Fractional positions:
Na1 0.0000 0.0000 0.0000  8 S 2.95
Y1 0.5000 0.5000 0.5000  8 S 2.95
S1 0.2500 0.2500 0.2500  4 Na 2.95, 4 Y 2.95
S2 0.7500 0.7500 0.7500  4 Na 2.95, 4 Y 2.95

Values from the calculation:
Formation energy without anion corrections = -1.503 eV/atom
Volume = 19.8 Å³/atom
Uncorrected energy = -22.0 eV/f.u.
Crystal system = cubic